# TaGaBr2

Crystalline TaGaBr2 at its relaxed geometry (PBE-GGA, the Alexandria database). Values from VASP.

Properties
E_tot ... -18.66 eV for the cell shown
V ... 23.7 Å³/atom
Energy relative to the lowest polymorph listed for this composition ... 0 meV per atom
Symmetry ... No. 166
ΔE_f (raw) ... -110 meV per atom

The structure in Quantum ESPRESSO input format:
```
&SYSTEM
  ibrav = 0, nat = 4, ntyp = 3
/
ATOMIC_SPECIES
Ta 180.95 Ta.upf
Ga 69.72 Ga.upf
Br 79.90 Br.upf
CELL_PARAMETERS angstrom
1.638 0.946 10.189
-1.638 0.946 10.189
0.000 -1.892 10.189
ATOMIC_POSITIONS crystal
Ta 0.000 0.000 0.000
Ga 0.500 0.500 0.500
Br 0.396 0.396 0.396
Br 0.604 0.604 0.604
```

# TaGaBr4

Crystalline TaGaBr4 at its relaxed geometry (PBE-GGA, the Alexandria database). Values from VASP.

Properties
E_tot ... -24.45 eV for the cell shown
V ... 34.1 Å³/atom
Symmetry ... No. 12
ΔE_f (raw) ... -480 meV per atom

The structure in Quantum ESPRESSO input format:
```
&SYSTEM
  ibrav = 0, nat = 6, ntyp = 3
/
ATOMIC_SPECIES
Ta 180.95 Ta.upf
Ga 69.72 Ga.upf
Br 79.90 Br.upf
CELL_PARAMETERS angstrom
4.209 -7.525 0.000
4.209 7.525 0.000
-1.499 0.000 3.232
ATOMIC_POSITIONS crystal
Ta 0.000 0.000 0.000
Ga 0.500 0.500 0.000
Br 0.117 0.353 0.233
Br 0.353 0.117 0.233
Br 0.647 0.883 0.767
Br 0.883 0.647 0.767
```

# TaGa2Br

Crystalline TaGa2Br at its relaxed geometry (PBE-GGA, the Alexandria database). Values from VASP.

Properties
E_tot ... -16.65 eV for the cell shown
V ... 20.2 Å³/atom
Energy relative to the lowest polymorph listed for this composition ... 200 meV per atom
Symmetry ... No. 225
ΔE_f (raw) ... 732 meV per atom

The structure in Quantum ESPRESSO input format:
```
&SYSTEM
  ibrav = 0, nat = 4, ntyp = 3
/
ATOMIC_SPECIES
Ta 180.95 Ta.upf
Ga 69.72 Ga.upf
Br 79.90 Br.upf
CELL_PARAMETERS angstrom
0.000 3.430 3.430
3.430 0.000 3.430
3.430 3.430 0.000
ATOMIC_POSITIONS crystal
Ta 0.000 0.000 0.000
Ga 0.250 0.250 0.250
Ga 0.750 0.750 0.750
Br 0.500 0.500 0.500
```

Q: The highest V belongs to which entry?
A: TaGaBr4